# CsThMoO6, optimized geometry, DFT PBE+U
data_CsThMoO6
_cell_length_a 5.6152
_cell_length_b 10.4280
_cell_length_c 6.5804
_cell_angle_alpha 90.00
_cell_angle_beta 91.98
_cell_angle_gamma 90.00
_symmetry_space_group_name_H-M 'C 1 2 1'
_symmetry_Int_Tables_number 5
loop_
_symmetry_equiv_pos_as_xyz
'x,y,z'
'-x,y,-z'
'x+1/2,y+1/2,z'
'-x+1/2,y+1/2,-z'
loop_
_atom_site_label
_atom_site_type_symbol
_atom_site_fract_x
_atom_site_fract_y
_atom_site_fract_z
Cs1 Cs 0.0000 0.0000 0.0000
Th1 Th 0.0000 0.3264 0.5000
Mo1 Mo 0.0000 0.6460 0.5000
O1 O 0.1306 0.5155 0.3432
O2 O 0.1748 0.7877 0.3233
O3 O 0.2391 0.1866 0.3203
# - final energy (eV/cell) = -129.01
# - V (A^3/atom) = 21.39